# Tb3Fe7Tc2

A geometry-optimized Tb3Fe7Tc2 structure (PBE, the Alexandria database).

Cell lengths 5.1003, 5.1003, 8.8652 Å; angles 73.28, 73.28, 60.00 degrees
Closest atoms and distances in Å follow each position.
Sites, in units of the cell vectors:
Tb: 0.0000 0.0000 0.0000  6 Tc 2.94
Tb: 0.8584 0.8584 0.4249  12 Fe 2.93-3.08, 3 Tb 3.20
Tb: 0.1416 0.1416 0.5751  12 Fe 2.93-3.08, 3 Tb 3.20
Fe: 0.5000 0.5000 0.5000  6 Fe 2.54
Fe: 0.9141 0.4171 0.2516  5 Fe 2.53-2.57, 2 Tc 2.54-2.59
Fe: 0.4171 0.9141 0.2516  5 Fe 2.53-2.57, 2 Tc 2.54-2.59
Fe: 0.4171 0.4171 0.2516  5 Fe 2.53-2.57, 2 Tc 2.54-2.59
Fe: 0.0859 0.5829 0.7484  5 Fe 2.53-2.57, 2 Tc 2.54-2.59
Fe: 0.5829 0.5829 0.7484  5 Fe 2.53-2.57, 2 Tc 2.54-2.59
Fe: 0.5829 0.0859 0.7484  5 Fe 2.53-2.57, 2 Tc 2.54-2.59
Tc: 0.6681 0.6681 0.9957  6 Fe 2.54-2.59
Tc: 0.3319 0.3319 0.0043  6 Fe 2.54-2.59

The value obtained for the final energy is -94.30 eV/cell. The formation energy comes out at -36 meV per atom. Its total moment is 12.32 μB/cell.

***

# Mn2GaBi

A geometry-optimized Mn2GaBi structure (PBE, the Alexandria database).

Cell lengths 4.4282, 4.4282, 4.4282 Å; angles 60.00, 60.00, 60.00 degrees
Closest atoms and distances in Å follow each position.
Sites, in units of the cell vectors:
Mn: 0.2500 0.2500 0.2500  4 Bi 2.71, 4 Ga 2.71
Mn: 0.7500 0.7500 0.7500  4 Bi 2.71, 4 Ga 2.71
Bi: 0.5000 0.5000 0.5000  8 Mn 2.71
Ga: 0.0000 0.0000 0.0000  8 Mn 2.71

The value obtained for the final energy is -22.80 eV/cell. The formation energy comes out at 612 meV per atom. Its total moment is 0.00 μB/cell. The energy above the most stable polymorph in this dataset is 90 meV/atom.

***

# HfTa2Co9

A geometry-optimized HfTa2Co9 structure (PBE, the Alexandria database).

Cell lengths 4.7334, 4.7334, 8.2365 Å; angles 73.30, 73.30, 60.00 degrees
Closest atoms and distances in Å follow each position.
Sites, in units of the cell vectors:
Hf: 0.0000 0.0000 0.0000  6 Co 2.73
Ta: 0.8608 0.8608 0.4175  12 Co 2.68-2.88
Ta: 0.1392 0.1392 0.5825  12 Co 2.68-2.88
Co: 0.6653 0.6653 0.0042  6 Co 2.39-2.42
Co: 0.3347 0.3347 0.9958  6 Co 2.39-2.42
Co: 0.5000 0.5000 0.5000  6 Co 2.36
Co: 0.4127 0.4127 0.2548  7 Co 2.33-2.42
Co: 0.9198 0.4127 0.2548  7 Co 2.33-2.42
Co: 0.4127 0.9198 0.2548  7 Co 2.33-2.42
Co: 0.5873 0.5873 0.7452  7 Co 2.33-2.42
Co: 0.5873 0.0802 0.7452  7 Co 2.33-2.42
Co: 0.0802 0.5873 0.7452  7 Co 2.33-2.42

The value obtained for the final energy is -100.04 eV/cell. The formation energy comes out at -202 meV per atom. Its total moment is 6.23 μB/cell.

***

# CeSn2Se4

A geometry-optimized CeSn2Se4 structure (PBE, the Alexandria database).

Cell lengths 8.6789, 8.6789, 12.1668 Å; angles 90.00, 90.00, 90.00 degrees
Closest atoms and distances in Å follow each position.
Sites, in units of the cell vectors:
Ce: 0.0000 0.7409 0.5000  6 Se 2.87-2.92
Ce: 0.2591 0.0000 0.7500  6 Se 2.87-2.92
Ce: 0.7409 0.0000 0.2500  6 Se 2.87-2.92
Ce: 0.0000 0.2591 0.0000  6 Se 2.87-2.92
Sn: 0.7569 0.7569 0.8750  4 Se 2.82-2.89
Sn: 0.2431 0.7569 0.1250  4 Se 2.82-2.89
Sn: 0.7569 0.2431 0.6250  4 Se 2.82-2.89
Sn: 0.2431 0.2431 0.3750  4 Se 2.82-2.89
Sn: 0.7399 0.5000 0.2500  6 Se 2.98-3.02
Sn: 0.5000 0.2601 0.0000  6 Se 2.98-3.02
Sn: 0.5000 0.7399 0.5000  6 Se 2.98-3.02
Sn: 0.2601 0.5000 0.7500  6 Se 2.98-3.02
Se: 0.2440 0.9713 0.5128  2 Sn 2.89-3.00, 2 Ce 2.90-2.92
Se: 0.7560 0.9713 0.4872  2 Sn 2.89-3.00, 2 Ce 2.90-2.92
Se: 0.0287 0.2440 0.7628  2 Sn 2.89-3.00, 2 Ce 2.90-2.92
Se: 0.7560 0.0287 0.0128  2 Sn 2.89-3.00, 2 Ce 2.90-2.92
Se: 0.2414 0.4855 0.9979  3 Sn 2.82-3.02, 1 Ce 2.87
Se: 0.5145 0.2414 0.2479  3 Sn 2.82-3.02, 1 Ce 2.87
Se: 0.4855 0.7586 0.7479  3 Sn 2.82-3.02, 1 Ce 2.87
Se: 0.2414 0.5145 0.5021  3 Sn 2.82-3.02, 1 Ce 2.87
Se: 0.7586 0.4855 0.0021  3 Sn 2.82-3.02, 1 Ce 2.87
Se: 0.7586 0.5145 0.4979  3 Sn 2.82-3.02, 1 Ce 2.87
Se: 0.4855 0.2414 0.7521  3 Sn 2.82-3.02, 1 Ce 2.87
Se: 0.5145 0.7586 0.2521  3 Sn 2.82-3.02, 1 Ce 2.87
Se: 0.9713 0.2440 0.2372  2 Sn 2.89-3.00, 2 Ce 2.90-2.92
Se: 0.2440 0.0287 0.9872  2 Sn 2.89-3.00, 2 Ce 2.90-2.92
Se: 0.9713 0.7560 0.2628  2 Sn 2.89-3.00, 2 Ce 2.90-2.92
Se: 0.0287 0.7560 0.7372  2 Sn 2.89-3.00, 2 Ce 2.90-2.92

The value obtained for the final energy is -136.24 eV/cell. As for the uncorrected formation energy: -596 kJ/mol of formula units. Its total moment is 0.55 μB/cell. The energy above the most stable polymorph in this dataset is 16 meV/atom.